# 1
! PmNi4P2, relaxed, DFT PBE-GGA; values from VASP
&SYSTEM
  ibrav = 0, nat = 14, ntyp = 3
/
ATOMIC_SPECIES
Pm 145.00 Pm.upf
Ni 58.69 Ni.upf
P 30.97 P.upf
CELL_PARAMETERS angstrom
7.1730 0.0000 0.0000
0.0000 7.1730 0.0000
0.0000 0.0000 3.6197
ATOMIC_POSITIONS angstrom
Pm 0.0000 0.0000 0.0000
Pm 3.5865 3.5865 1.8099
Ni 0.6161 2.4335 1.8099
Ni 1.1530 4.2026 0.0000
Ni 2.4335 0.6161 1.8099
Ni 2.9704 6.0200 0.0000
Ni 4.2026 1.1530 0.0000
Ni 4.7395 6.5569 1.8099
Ni 6.0200 2.9704 0.0000
Ni 6.5569 4.7395 1.8099
P 1.5845 5.5884 1.8099
P 2.0019 2.0019 0.0000
P 5.1710 5.1710 0.0000
P 5.5884 1.5845 1.8099
! space group: P4_2/mnm, No. 136
! spin magnetization: 0.00 μB/f.u.
! VASP energy: -6.1921 eV per atom
! crystal system: tetragonal

=====

# 2
! NdDySi2Mo2C, relaxed, DFT PBE-GGA; values from VASP
&SYSTEM
  ibrav = 0, nat = 7, ntyp = 5
/
ATOMIC_SPECIES
Nd 144.24 Nd.upf
Dy 162.50 Dy.upf
Si 28.09 Si.upf
Mo 95.94 Mo.upf
C 12.01 C.upf
CELL_PARAMETERS angstrom
5.5982 -1.9349 0.0000
5.5982 1.9349 0.0000
-4.2452 0.0000 5.8800
ATOMIC_POSITIONS angstrom
Nd 0.0000 0.0000 0.0000
Dy 7.7933 0.0000 2.3808
Si 3.1143 0.0000 0.1939
Si 4.6544 0.0000 2.1781
Mo -0.1890 0.0000 3.6251
Mo 3.7254 0.0000 4.5855
C 1.7757 0.0000 4.0645
! space group: Cm, No. 8
! spin magnetization: 0.00 μB/f.u.
! VASP energy: -7.8651 eV per atom
! crystal system: monoclinic